1.
First-principles (PBE) data for a geometry-optimized TlCo17 structure, as listed in the Open Quantum Materials Database.

- energy relative to the lowest polymorph listed for this composition (meV per atom) = 5

a b c (Å): 4.9274 4.9274 31.3853
angles (deg): 90.00 90.00 120.00
Space group P-3m1 (No. 164)
Inequivalent atoms, fractional coordinates:
Tl: 0.3333 0.6667 0.2917
Co: 0.0000 0.0000 0.0000
Co: 0.0000 0.0000 0.1930
Co: 0.0000 0.5000 0.0000
Co: 0.0038 0.5019 0.1938
Co: 0.1657 0.3314 0.1286
Co: 0.1658 0.3317 0.9359
Co: 0.1666 0.3333 0.7448
Co: 0.3333 0.6667 0.0645
Co: 0.3333 0.6667 0.8704

2.
First-principles (PBE) data for a geometry-optimized TlCo7 structure, as listed in the Open Quantum Materials Database.

- E (eV per atom) = -6.330

a b c (Å): 2.6255 3.3435 31.4215
angles (deg): 90.00 90.00 90.00
Space group Pmm2 (No. 25)
Inequivalent atoms, fractional coordinates:
Tl: 0.0000 0.0000 0.0000
Tl: 0.5000 0.5000 0.3583
Co: 0.0000 0.0000 0.4238
Co: 0.0000 0.0000 0.5016
Co: 0.0000 0.0000 0.5806
Co: 0.0000 0.0000 0.6598
Co: 0.0000 0.0000 0.7389
Co: 0.0000 0.0000 0.8184
Co: 0.0000 0.0000 0.8985
Co: 0.5000 0.5000 0.4607
Co: 0.5000 0.5000 0.5406
Co: 0.5000 0.5000 0.6199
Co: 0.5000 0.5000 0.6991
Co: 0.5000 0.5000 0.7783
Co: 0.5000 0.5000 0.8575
Co: 0.5000 0.5000 0.9353

3.
First-principles (PBE) data for a geometry-optimized TlCo2 structure, as listed in the Open Quantum Materials Database.

- E (eV per atom) = -5.038

a b c (Å): 7.0829 7.0829 7.0829
angles (deg): 90.00 90.00 90.00
Space group Fd-3m (No. 227, origin choice 2)
Inequivalent atoms, fractional coordinates:
Tl: 0.1250 0.1250 0.1250
Co: 0.0000 0.0000 0.5000

4.
First-principles (PBE) data for a geometry-optimized TlCo2 structure, as listed in the Open Quantum Materials Database.

- E (eV per atom) = -2.988

a b c (Å): 11.7749 11.7749 11.7749
angles (deg): 90.00 90.00 90.00
Space group Fd-3m (No. 227, origin choice 2)
Inequivalent atoms, fractional coordinates:
Tl: 0.1250 0.1250 0.1250
Co: 0.0000 0.0000 0.0000

5.
First-principles (PBE) data for a geometry-optimized TlCo17 structure, as listed in the Open Quantum Materials Database.

- energy relative to the lowest polymorph listed for this composition (meV per atom) = 0

a b c (Å): 4.2741 4.9323 31.2681
angles (deg): 90.00 90.05 90.00
Space group P2_1/m (No. 11)
Inequivalent atoms, fractional coordinates:
Tl: 0.1676 0.2500 0.2925
Co: 0.0000 0.0000 0.0000
Co: 0.0000 0.0024 0.1939
Co: 0.1639 0.2500 0.8703
Co: 0.1648 0.7500 0.2558
Co: 0.1665 0.2500 0.0643
Co: 0.1666 0.7500 0.0646
Co: 0.1703 0.7500 0.8712
Co: 0.3335 0.0008 0.1286
Co: 0.3326 0.0030 0.7435
Co: 0.3335 0.0001 0.9355
Co: 0.4985 0.7500 0.1934
Co: 0.4997 0.2500 0.0002
Co: 0.5000 0.2500 0.1938

6.
First-principles (PBE) data for a geometry-optimized TlCo124 structure, as listed in the Open Quantum Materials Database.

- E (eV per atom) = -7.033

a b c (Å): 17.5306 17.5306 17.5306
angles (deg): 90.00 90.00 90.00
Space group Fm-3m (No. 225)
Inequivalent atoms, fractional coordinates:
Tl: 0.0000 0.0000 0.0000
Co: 0.0000 0.0000 0.1996
Co: 0.0000 0.0000 0.4000
Co: 0.0000 0.1000 0.3000
Co: 0.0000 0.1052 0.1052
Co: 0.0000 0.2004 0.2004
Co: 0.1000 0.1000 0.4000
Co: 0.1001 0.1999 0.3001
Co: 0.1006 0.1006 0.2009
Co: 0.2001 0.2001 0.2001

7.
First-principles (PBE) data for a geometry-optimized Tl3Co2 structure, as listed in the Open Quantum Materials Database.

- E (eV per atom) = -3.759

a b c (Å): 6.5496 6.5496 17.5202
angles (deg): 90.00 90.00 120.00
Space group R-3c (No. 167, hexagonal axes)
Inequivalent atoms, fractional coordinates:
Tl: 0.0000 0.3769 0.2500
Co: 0.0000 0.0000 0.1843

8.
First-principles (PBE) data for a geometry-optimized TlCo15 structure, as listed in the Open Quantum Materials Database.

- energy relative to the lowest polymorph listed for this composition (meV per atom) = 9

a b c (Å): 4.9471 3.4888 33.6887
angles (deg): 90.00 90.01 90.00
Space group P2_1/m (No. 11)
Inequivalent atoms, fractional coordinates:
Tl: 0.1250 0.2500 0.2008
Co: 0.1233 0.2500 0.6655
Co: 0.1250 0.2500 0.2984
Co: 0.1250 0.2500 0.3714
Co: 0.1251 0.2500 0.4451
Co: 0.1249 0.2500 0.5183
Co: 0.1251 0.2500 0.5918
Co: 0.1246 0.2500 0.7386
Co: 0.3733 0.7500 0.3345
Co: 0.3746 0.7500 0.2614
Co: 0.3751 0.7500 0.4083
Co: 0.3750 0.7500 0.4817
Co: 0.3751 0.7500 0.5550
Co: 0.3750 0.7500 0.6284
Co: 0.3750 0.7500 0.7017
Co: 0.3749 0.7500 0.7720

9.
First-principles (PBE) data for a geometry-optimized TlCo15 structure, as listed in the Open Quantum Materials Database.

- energy relative to the lowest polymorph listed for this composition (meV per atom) = 4

a b c (Å): 4.2723 33.4793 4.2717
angles (deg): 90.00 109.10 90.00
Space group P2/c (No. 13)
Inequivalent atoms, fractional coordinates:
Tl: 0.0000 0.1975 0.2500
Co: 0.0000 0.2591 0.7500
Co: 0.0000 0.2949 0.2500
Co: 0.0000 0.3330 0.7500
Co: 0.0000 0.3697 0.2500
Co: 0.0000 0.4073 0.7500
Co: 0.0000 0.4444 0.2500
Co: 0.0000 0.4815 0.7500
Co: 0.5000 0.2265 0.7500
Co: 0.5000 0.2591 0.2500
Co: 0.5000 0.2970 0.7500
Co: 0.5000 0.3328 0.2500
Co: 0.5000 0.3706 0.7500
Co: 0.5000 0.4070 0.2500
Co: 0.5000 0.4444 0.7500
Co: 0.5000 0.4815 0.2500

10.
First-principles (PBE) data for a geometry-optimized YTmTlCo2 structure, as listed in the Open Quantum Materials Database.

- E (eV per atom) = -5.801

a b c (Å): 3.8402 3.8132 14.0260
angles (deg): 90.00 90.00 90.00
Space group Amm2 (No. 38)
Inequivalent atoms, fractional coordinates:
Y: 0.0000 0.0000 0.0000
Tm: 0.0000 0.0000 0.2800
Tl: 0.5000 0.0000 0.6401
Co: 0.5000 0.0000 0.4308
Co: 0.5000 0.0000 0.8433

11.
First-principles (PBE) data for a geometry-optimized TlZnCoW structure, as listed in the Open Quantum Materials Database.

- energy relative to the lowest polymorph listed for this composition (meV per atom) = 102

a b c (Å): 6.3517 6.3517 6.3517
angles (deg): 90.00 90.00 90.00
Space group F-43m (No. 216)
Inequivalent atoms, fractional coordinates:
Tl: 0.0000 0.0000 0.0000
Zn: 0.0000 0.0000 0.5000
Co: 0.2500 0.2500 0.2500
W: 0.2500 0.2500 0.7500

12.
First-principles (PBE) data for a geometry-optimized TlZnCoW structure, as listed in the Open Quantum Materials Database.

- energy relative to the lowest polymorph listed for this composition (meV per atom) = 0

a b c (Å): 6.3024 6.3024 6.3024
angles (deg): 90.00 90.00 90.00
Space group F-43m (No. 216)
Inequivalent atoms, fractional coordinates:
Tl: 0.0000 0.0000 0.0000
Zn: 0.2500 0.2500 0.7500
Co: 0.2500 0.2500 0.2500
W: 0.0000 0.0000 0.5000

13.
First-principles (PBE) data for a geometry-optimized ZrTlCoW structure, as listed in the Open Quantum Materials Database.

- energy relative to the lowest polymorph listed for this composition (meV per atom) = 0

a b c (Å): 6.6003 6.6003 6.6003
angles (deg): 90.00 90.00 90.00
Space group F-43m (No. 216)
Inequivalent atoms, fractional coordinates:
Zr: 0.0000 0.0000 0.0000
Tl: 0.0000 0.0000 0.5000
Co: 0.2500 0.2500 0.7500
W: 0.2500 0.2500 0.2500

14.
First-principles (PBE) data for a geometry-optimized YTl2Co structure, as listed in the Open Quantum Materials Database.

- E (eV per atom) = -4.348

a b c (Å): 7.1084 7.1084 7.1084
angles (deg): 90.00 90.00 90.00
Space group F-43m (No. 216)
Inequivalent atoms, fractional coordinates:
Y: 0.0000 0.0000 0.0000
Tl: 0.0000 0.0000 0.5000
Tl: 0.2500 0.2500 0.2500
Co: 0.2500 0.2500 0.7500